No. 1
VASP calculation (GGA+U) on an optimized crystal structure of Li2Zn2Mo3O12.

a b c (Å): 5.1887 10.6903 17.8512
angles (deg): 90.00 90.00 90.00
Sites, in units of the cell vectors:
O1 0.9169 0.1228 0.7130
O2 0.0816 0.4879 0.4271
O3 0.0770 0.1154 0.0366
O4 0.4407 0.7500 0.0074
O5 0.4169 0.3772 0.7870
O6 0.1467 0.6147 0.7958
O7 0.0831 0.6228 0.2870
O8 0.9169 0.3772 0.7130
O9 0.3533 0.3853 0.2958
O10 0.9184 0.9879 0.5729
O11 0.0831 0.8772 0.2870
O12 0.4184 0.5121 0.9271
O13 0.0653 0.6127 0.1260
O14 0.9230 0.8846 0.9634
O15 0.5831 0.8772 0.2130
O16 0.5653 0.8873 0.3740
O17 0.5770 0.1154 0.4634
O18 0.6467 0.8853 0.7042
O19 0.6430 0.7500 0.8479
O20 0.0653 0.8873 0.1260
O21 0.5593 0.2500 0.9926
O22 0.3570 0.2500 0.1521
O23 0.5816 0.4879 0.0729
O24 0.8533 0.3853 0.2042
O25 0.5653 0.6127 0.3740
O26 0.4184 0.9879 0.9271
O27 0.9347 0.1127 0.8740
O28 0.4347 0.1127 0.6260
O29 0.8533 0.1147 0.2042
O30 0.0816 0.0121 0.4271
O31 0.4169 0.1228 0.7870
O32 0.5816 0.0121 0.0729
O33 0.9184 0.5121 0.5729
O34 0.5831 0.6228 0.2130
O35 0.9230 0.6154 0.9634
O36 0.0770 0.3846 0.0366
O37 0.6467 0.6147 0.7042
O38 0.4347 0.3873 0.6260
O39 0.4230 0.8846 0.5366
O40 0.8570 0.2500 0.3479
O41 0.3533 0.1147 0.2958
O42 0.1430 0.7500 0.6521
O43 0.9407 0.7500 0.4926
O44 0.4230 0.6154 0.5366
O45 0.5770 0.3846 0.4634
O46 0.0593 0.2500 0.5074
O47 0.1467 0.8853 0.7958
O48 0.9347 0.3873 0.8740
Mo1 0.2798 0.9741 0.3435
Mo2 0.2798 0.5259 0.3435
Mo3 0.2202 0.4741 0.8435
Mo4 0.7229 0.7500 0.9433
Mo5 0.7771 0.2500 0.4433
Mo6 0.7798 0.9741 0.1565
Mo7 0.2229 0.7500 0.5567
Mo8 0.7202 0.0259 0.6565
Mo9 0.2771 0.2500 0.0567
Mo10 0.7798 0.5259 0.1565
Mo11 0.7202 0.4741 0.6565
Mo12 0.2202 0.0259 0.8435
Li1 0.3969 0.7500 0.7491
Li2 0.7446 0.7500 0.3002
Li3 0.2554 0.2500 0.6998
Li4 0.6031 0.2500 0.2509
Li5 0.2446 0.7500 0.1998
Li6 0.7554 0.2500 0.8002
Li7 0.1031 0.2500 0.2491
Li8 0.8969 0.7500 0.7509
Zn1 0.7568 0.5791 0.4698
Zn2 0.2568 0.5791 0.0302
Zn3 0.7432 0.4209 0.9698
Zn4 0.7432 0.0791 0.9698
Zn5 0.2432 0.0791 0.5302
Zn6 0.2568 0.9209 0.0302
Zn7 0.7568 0.9209 0.4698
Zn8 0.2432 0.4209 0.5302

Summary:
Fermi-level density of states, states/eV per atom: 0.00
E, eV per cell: -476.548
Symmetry: Pnma

No. 2
VASP calculation (GGA+U) on an optimized crystal structure of LiZrMoO4.

a b c (Å): 6.4280 6.3834 6.4533
angles (deg): 120.36 90.00 120.23
Site moments in Bohr magnetons follow the coordinates.
Sites, in units of the cell vectors:
O1 0.2855 0.0113 0.2556  0.02
O2 0.7369 0.4738 0.7144  0.04
O3 0.2631 0.5262 0.2856  0.04
O4 0.7369 0.4738 0.2593  0.04
O5 0.7145 0.9887 0.7444  0.02
O6 0.7258 0.0113 0.2556  0.02
O7 0.2631 0.5262 0.7407  0.04
O8 0.2742 0.9887 0.7444  0.02
Li1 0.1286 0.2572 0.8786  0.01
Li2 0.8714 0.7428 0.1214  0.01
Mo1 0.0000 0.5000 0.5000  2.70
Mo2 0.5000 0.5000 0.5000  2.70
Zr1 0.5000 0.0000 0.0000  0.02
Zr2 0.5000 0.0000 0.5000  0.02

Summary:
E, eV per cell: -108.519
Symmetry: Imma